Ni2Pt | SCAN | single point on PBEsol structure

Results
As for the density of states at the Fermi level: 7.8 states/eV/cell. As for the symmetry: C2. For the energy of formation from the pure elements, the calculation gives -111.4 meV/atom. The theoretical density comes out at 14.3 Mg/m³. As for the total magnetization: 1.94 μB/f.u.

a b c (Å): 5.2101 5.2101 5.6663
angles (deg): 103.20 103.20 90.02
Positions (direct):
Ni 0.0000 0.0000 0.0000
Ni 0.9998 0.4779 0.9996
Ni 0.1739 0.1568 0.6731
Ni 0.5221 0.0002 0.0004
Ni 0.5221 0.4779 0.0000
Ni 0.6831 0.1561 0.6690
Ni 0.8432 0.8261 0.3269
Ni 0.8439 0.3169 0.3310
Pt 0.1788 0.6606 0.6830
Pt 0.3394 0.8212 0.3170
Pt 0.3405 0.3164 0.3231
Pt 0.6836 0.6595 0.6769

---

Mn2FeRu | SCAN | single point on PBEsol structure

Results
As for the density of states at the Fermi level: 3.8 states/eV/cell. As for the symmetry: P4mm. For the energy of formation from the pure elements, the calculation gives 76.2 meV/atom. The calculation puts the distance to the lowest polymorph of the same formula at 131 meV per atom. The theoretical density comes out at 9.9 Mg/m³. As for the total magnetization: 1.03 μB/f.u.

a b c (Å): 2.5269 2.5269 7.0399
angles (deg): 90.00 90.00 90.00
Positions (direct):
Mn 0.0000 0.0000 0.0000
Mn 0.5000 0.5000 0.2402
Fe 0.5000 0.5000 0.7643
Ru 0.0000 0.0000 0.4998

---

MnPtAu2 | SCAN | single point on PBEsol structure

Results
As for the density of states at the Fermi level: 1.1 states/eV/cell. As for the symmetry: I4/mmm. For the energy of formation from the pure elements, the calculation gives -370.2 meV/atom. The theoretical density comes out at 17.1 Mg/m³. As for the total magnetization: 4.47 μB/f.u.

a b c (Å): 4.9327 4.9327 4.9327
angles (deg): 133.31 133.31 68.17
Positions (direct):
Mn 0.0000 0.0000 0.0000
Pt 0.5000 0.5000 0.0000
Au 0.2500 0.7500 0.5000
Au 0.7500 0.2500 0.5000

---

Dy7Cu3Te12 | SCAN | single point on PBEsol structure

Results
As for the symmetry: P1. The theoretical density comes out at 7.3 Mg/m³. As for the total magnetization: 0.00 μB/f.u. Its total energy is -38.8257 eV per atom.

a b c (Å): 7.3693 7.3734 13.9622
angles (deg): 95.11 94.76 119.97
Positions (direct):
Dy 0.0000 0.0000 0.0000
Dy 0.0860 0.7573 0.2528
Dy 0.1751 0.5146 0.5090
Dy 0.3332 0.6756 0.9998
Dy 0.4996 0.1706 0.5090
Dy 0.6745 0.3502 0.0000
Dy 0.8441 0.8554 0.5088
Cu 0.2253 0.2348 0.6783
Cu 0.5609 0.9054 0.6783
Cu 0.6198 0.6224 0.8406
Te 0.0447 0.3800 0.1304
Te 0.1335 0.1419 0.3783
Te 0.2031 0.8784 0.6434
Te 0.2862 0.2920 0.8708
Te 0.3830 0.0565 0.1306
Te 0.4665 0.8014 0.3783
Te 0.5619 0.5578 0.6418
Te 0.6279 0.9740 0.8707
Te 0.7069 0.7192 0.1325
Te 0.7941 0.4696 0.3816
Te 0.8823 0.2370 0.6416
Te 0.9682 0.6314 0.8683

---

ScTeRu2 | SCAN | single point on PBEsol structure

Results
As for the density of states at the Fermi level: 3.1 states/eV/cell. As for the symmetry: R-3m. The theoretical density comes out at 9.0 Mg/m³. As for the total magnetization: 0.00 μB/f.u. Its total energy is -30.2108 eV per atom.

a b c (Å): 8.3887 8.3887 8.3887
angles (deg): 21.41 21.41 21.41
Positions (direct):
Sc 0.0000 0.0000 0.0000
Te 0.5000 0.5000 0.5000
Ru 0.2490 0.2490 0.2490
Ru 0.7510 0.7510 0.7510

---

TlBiBr2 | SCAN | single point on PBEsol structure

Results
As for the density of states at the Fermi level: 0.7 states/eV/cell. As for the symmetry: R-3m. The theoretical density comes out at 7.6 Mg/m³. As for the total magnetization: 0.00 μB/f.u. Its total energy is -47.9257 eV per atom.

a b c (Å): 10.4995 10.4995 10.4995
angles (deg): 20.62 20.62 20.62
Positions (direct):
Tl 0.0000 0.0000 0.0000
Bi 0.5000 0.5000 0.5000
Br 0.4086 0.4086 0.4086
Br 0.5914 0.5914 0.5914

---

CdCu2Mo | SCAN | single point on PBEsol structure

Results
As for the density of states at the Fermi level: 2.3 states/eV/cell. As for the symmetry: R3m. For the energy of formation from the pure elements, the calculation gives 344.7 meV/atom. The theoretical density comes out at 9.6 Mg/m³. As for the total magnetization: 0.00 μB/f.u.

a b c (Å): 9.1449 9.1449 9.1449
angles (deg): 17.13 17.13 17.13
Positions (direct):
Cd 0.0000 0.0000 0.0000
Cu 0.4916 0.4916 0.4916
Cu 0.7526 0.7526 0.7526
Mo 0.2382 0.2382 0.2382

---

TlS2I | SCAN | single point on PBEsol structure

Results
As for the density of states at the Fermi level: 1.3 states/eV/cell. As for the symmetry: R-3m. The calculation puts the distance to the lowest polymorph of the same formula at 0 meV per atom. The theoretical density comes out at 5.7 Mg/m³. As for the total magnetization: 0.00 μB/f.u.

a b c (Å): 8.3006 8.3006 8.3006
angles (deg): 28.39 28.39 28.39
Positions (direct):
Tl 0.0000 0.0000 0.0000
S 0.3914 0.3914 0.3914
S 0.6086 0.6086 0.6086
I 0.5000 0.5000 0.5000

---

MnRe2Mo | SCAN | single point on PBEsol structure

Results
As for the density of states at the Fermi level: 2.6 states/eV/cell. As for the symmetry: P4mm. For the energy of formation from the pure elements, the calculation gives 39.5 meV/atom. The calculation puts the distance to the lowest polymorph of the same formula at 73 meV per atom. The theoretical density comes out at 15.5 Mg/m³. As for the total magnetization: 2.33 μB/f.u.

a b c (Å): 3.0714 3.0714 5.9338
angles (deg): 90.00 90.00 90.00
Positions (direct):
Mn 0.0000 0.0000 0.0000
Re 0.0000 0.0000 0.4937
Re 0.5000 0.5000 0.7515
Mo 0.5000 0.5000 0.2165

---

Ta2AlPb | SCAN | single point on PBEsol structure

Results
As for the density of states at the Fermi level: 2.1 states/eV/cell. As for the symmetry: Pm. For the energy of formation from the pure elements, the calculation gives 247.2 meV/atom. The theoretical density comes out at 13.2 Mg/m³. As for the total magnetization: 0.00 μB/f.u.

a b c (Å): 2.9400 4.7411 5.4707
angles (deg): 90.00 99.92 90.00
Positions (direct):
Ta 0.0000 0.0000 0.0000
Ta 0.1690 0.5000 0.7404
Al 0.6974 0.5000 0.1932
Pb 0.5562 0.0000 0.4938

---

ScSiIr | SCAN | single point on PBEsol structure

Results
As for the density of states at the Fermi level: 2.8 states/eV/cell. As for the symmetry: Pnma. The theoretical density comes out at 9.4 Mg/m³. As for the total magnetization: 0.00 μB/f.u. Its total energy is -33.0914 eV per atom.

a b c (Å): 6.4109 4.0339 7.2524
angles (deg): 90.00 90.00 90.00
Positions (direct):
Sc 0.0113 0.2500 0.1857
Sc 0.4887 0.7500 0.6857
Sc 0.5113 0.2500 0.3143
Sc 0.9887 0.7500 0.8143
Si 0.2125 0.7500 0.3789
Si 0.2875 0.2500 0.8789
Si 0.7125 0.7500 0.1211
Si 0.7875 0.2500 0.6211
Ir 0.1601 0.2500 0.5599
Ir 0.3399 0.7500 0.0599
Ir 0.6601 0.2500 0.9401
Ir 0.8399 0.7500 0.4401

---

P2WO8 | SCAN | single point on PBEsol structure

Results
As for the density of states at the Fermi level: 0.0 states/eV/cell. As for the symmetry: Pnnm. The calculation puts the distance to the lowest polymorph of the same formula at 103 meV per atom. The theoretical density comes out at 4.1 Mg/m³. As for the total magnetization: 0.00 μB/f.u.

a b c (Å): 7.1619 8.1059 5.1800
angles (deg): 90.00 90.00 90.00
Positions (direct):
P 0.1357 0.2274 0.0000
P 0.3643 0.7274 0.5000
P 0.6357 0.2726 0.5000
P 0.8643 0.7726 0.0000
W 0.0000 0.0000 0.5000
W 0.5000 0.5000 0.0000
O 0.0289 0.6657 0.0000
O 0.1437 0.1062 0.2384
O 0.1437 0.1062 0.7616
O 0.1701 0.8183 0.5000
O 0.3299 0.3183 0.0000
O 0.3563 0.6062 0.2616
O 0.3563 0.6062 0.7384
O 0.4711 0.1657 0.5000
O 0.5289 0.8343 0.5000
O 0.6437 0.3938 0.2616
O 0.6437 0.3938 0.7384
O 0.6701 0.6817 0.0000
O 0.8299 0.1817 0.5000
O 0.8563 0.8938 0.2384
O 0.8563 0.8938 0.7616
O 0.9711 0.3343 0.0000